[1]
This record from Alexandria describes Zr2ScPt after structural relaxation. The functional is GGA-PBE.

Results
The value obtained for the formation energy is -10.753 kcal/mol of atoms. The distance to the lowest polymorph of the same formula is 43 kJ/mol of formula units. The total energy comes out at -7.83 eV per atom.

Lattice parameters (Å, degrees): 5.8264 6.1532 4.5249 90.00 90.00 90.00
Space group Cmmm (No. 65)
Asymmetric unit:
Zr 0.2500 0.2500 0.0000 x4
Sc 0.0000 0.0000 0.5000 x2
Pt 0.0000 0.5000 0.5000 x2

=====

[2]
This record from Alexandria describes Nd3Eu after structural relaxation. The functional is GGA-PBE.

Results
The value obtained for the formation energy is 1.358 kcal/mol of atoms. The distance to the lowest polymorph of the same formula is 1 kJ/mol of formula units. The total energy comes out at -6.09 eV per atom.

Lattice parameters (Å, degrees): 5.2490 5.2490 5.2490 90.00 90.00 90.00
Space group Pm-3m (No. 221)
Asymmetric unit:
Nd 0.0000 0.0000 0.5000 x3
Eu 0.5000 0.5000 0.5000 x1

=====

[3]
This record from Alexandria describes BeOs after structural relaxation. The functional is GGA-PBE.

Results
The value obtained for the formation energy is -1.524 kcal/mol of atoms. The total energy comes out at -7.54 eV per atom.

Lattice parameters (Å, degrees): 8.5243 2.7939 4.0068 90.00 108.95 90.00
Space group C2/m (No. 12)
Asymmetric unit:
Be 0.1353 0.0000 0.3554 x4
Os 0.1167 0.5000 0.8337 x4

=====

[4]
This record from Alexandria describes Er4VGa12 after structural relaxation. The functional is GGA-PBE.

Results
The value obtained for the formation energy is -11.507 kcal/mol of atoms. The total energy comes out at -4.25 eV per atom.

Lattice parameters (Å, degrees): 8.6012 8.6012 8.6012 90.00 90.00 90.00
Space group Im-3m (No. 229)
Asymmetric unit:
Er 0.2500 0.2500 0.2500 x8
V 0.0000 0.0000 0.0000 x2
Ga 0.0000 0.0000 0.2895 x12
Ga 0.0000 0.2500 0.5000 x12

=====

> What is the formula in the first record?

Zr2ScPt

=====

Copy entry 2 word for word.
This record from Alexandria describes Nd3Eu after structural relaxation. The functional is GGA-PBE.

Results
The value obtained for the formation energy is 1.358 kcal/mol of atoms. The distance to the lowest polymorph of the same formula is 1 kJ/mol of formula units. The total energy comes out at -6.09 eV per atom.

Lattice parameters (Å, degrees): 5.2490 5.2490 5.2490 90.00 90.00 90.00
Space group Pm-3m (No. 221)
Asymmetric unit:
Nd 0.0000 0.0000 0.5000 x3
Eu 0.5000 0.5000 0.5000 x1